The following is a DFT calculation (PBE-GGA) of a relaxed CoTc2BiRu crystal.

Lattice parameters (Å, degrees): 4.9910 4.9910 4.5566 90.00 90.00 90.00
Space group P4/mmm (No. 123)
Inequivalent atoms, fractional coordinates:
Co  0.0000  0.0000  0.0000
Tc  0.0000  0.5000  0.5000
Bi  0.0000  0.0000  0.5000
Ru  0.5000  0.5000  0.0000

Summary:
calculated formation energy	2.50	eV/atom
E	-5.6956	eV per atom
total magnetic moment	6.4	Bohr magnetons per cell